# NbSb2Rh

An optimized crystal structure of NbSb2Rh (PBE, Alexandria).

* symmetry: R-3m
* ΔE_f (raw): 179 meV/atom
* crystal system: trigonal
* calculated volume: 84.7 Å³/f.u.
* DOS(E_F): 0.75 states/eV per atom
* E: -6.2373 eV/atom

The structure in CIF format:
```
data_NbSb2Rh
_chemical_formula_sum 'Nb1 Sb2 Rh1'
_cell_length_a 9.780
_cell_length_b 9.780
_cell_length_c 9.780
_cell_angle_alpha 18.78
_cell_angle_beta 18.78
_cell_angle_gamma 18.78
_space_group_name_H-M_alt 'P 1'
_space_group_IT_number 1
_space_group_name_Hall 'P 1'
loop_
_atom_site_label
_atom_site_type_symbol
_atom_site_fract_x
_atom_site_fract_y
_atom_site_fract_z
Nb1 Nb 0.000 0.000 0.000
Sb1 Sb 0.098 0.098 0.098
Sb2 Sb 0.902 0.902 0.902
Rh1 Rh 0.500 0.500 0.500
```